[1]
First-principles (PBE-GGA) data for a relaxed structure of IrPtRh2, as listed in the Alexandria database.

Cell: 6.2202 6.2202 6.2202 Å, 90.00 90.00 90.00°
Last column: nearest neighbours and their distance in Å.
Space group Fm-3m (No. 225)
Inequivalent atoms, fractional coordinates:
Ir 0.0000 0.0000 0.0000  8 Rh 2.69
Pt 0.0000 0.0000 0.5000  8 Rh 2.69
Rh 0.2500 0.2500 0.2500  4 Ir 2.69, 4 Pt 2.69

Values from the calculation:
For the formation energy, the calculation gives 0.34 eV per atom. The volume comes out at 241 Å³ per cell. Its relative energy among the computed polymorphs is 386.3 meV per atom. Its crystal system is cubic.



[2]
First-principles (PBE-GGA) data for a relaxed structure of Ir3Pt2Rh3, as listed in the Alexandria database.

Cell: 2.7253 10.6378 8.2809 Å, 90.00 90.00 90.00°
Last column: nearest neighbours and their distance in Å.
Space group Amm2 (No. 38)
Inequivalent atoms, fractional coordinates:
Ir 0.0000 0.0000 0.0000  4 Ir 2.58-2.73, 2 Pt 2.67, 4 Rh 2.76
Ir 0.0000 0.1256 0.7340  4 Ir 2.58-2.73, 1 Pt 2.64, 6 Rh 2.65-2.85
Pt 0.0000 0.1286 0.2770  2 Ir 2.64-2.67, 3 Pt 2.73-2.74, 6 Rh 2.74-2.82
Rh 0.5000 0.0000 0.5120  4 Ir 2.65, 4 Rh 2.73-2.92, 4 Pt 2.74
Rh 0.5000 0.2252 0.0084  3 Rh 2.73-2.92, 6 Ir 2.76-2.85, 4 Pt 2.80-2.82

Values from the calculation:
For the formation energy, the calculation gives 0.11 eV per atom. The volume comes out at 240 Å³ per cell. Its crystal system is orthorhombic.



[3]
First-principles (PBE-GGA) data for a relaxed structure of Ir6PtRh8, as listed in the Alexandria database.

Cell: 9.9469 9.9469 2.7208 Å, 90.00 90.00 120.00°
Last column: nearest neighbours and their distance in Å.
Space group P-3 (No. 147)
Inequivalent atoms, fractional coordinates:
Ir 0.0902 0.6218 0.2496  4 Ir 2.57-2.72, 5 Rh 2.59-2.65
Pt 0.0000 0.0000 0.5000  6 Rh 2.66, 2 Pt 2.72
Rh 0.0801 0.2894 0.2475  3 Ir 2.59-2.65, 1 Pt 2.66, 2 Rh 2.72
Rh 0.3333 0.6667 0.7553  6 Ir 2.60-2.62, 2 Rh 2.72

Values from the calculation:
For the formation energy, the calculation gives 0.30 eV per atom. The volume comes out at 233 Å³ per cell. Its crystal system is trigonal.



[4]
First-principles (PBE-GGA) data for a relaxed structure of Ir6PtRh, as listed in the Alexandria database.

Cell: 3.8802 3.8802 7.7694 Å, 90.00 90.00 90.00°
Last column: nearest neighbours and their distance in Å.
Space group P4/mmm (No. 123)
Inequivalent atoms, fractional coordinates:
Ir 0.0000 0.0000 0.0000  8 Ir 2.73, 4 Rh 2.74
Ir 0.0000 0.0000 0.5000  4 Pt 2.74, 8 Ir 2.77
Ir 0.0000 0.5000 0.2463  2 Rh 2.73, 8 Ir 2.73-2.77, 2 Pt 2.77
Pt 0.5000 0.5000 0.5000  12 Ir 2.74-2.77
Rh 0.5000 0.5000 0.0000  12 Ir 2.73-2.74

Values from the calculation:
For the formation energy, the calculation gives 0.03 eV per atom. The volume comes out at 117 Å³ per cell. Its crystal system is tetragonal.



Question: The lowest formation energy belongs to which entry?
Answer: Ir6PtRh



Question: Among the records above, which one has the lowest formation energy?
Answer: Ir6PtRh



Question: Which formula does entry 4 have?
Answer: Ir6PtRh